VASP calculation (PBE) on Ba2CuGe3Pt4 after structural relaxation.

Structure (POSCAR):
```
Ba2CuGe3Pt4
1.0
4.5251 0.0000 0.0000
0.0000 4.5251 0.0000
0.0000 0.0000 10.3526
Ba Cu Ge Pt
2 1 3 4
Direct
0.0000 0.5000 0.2433
0.5000 0.0000 0.7567
0.5000 0.5000 0.0000
0.0000 0.0000 0.0000
0.0000 0.5000 0.6202
0.5000 0.0000 0.3798
0.0000 0.0000 0.5000
0.0000 0.5000 0.8748
0.5000 0.0000 0.1252
0.5000 0.5000 0.5000
```

Results
formation energy = -0.669 eV/atom
symmetry = P-4m2
spin magnetization = 0.00 μB per cell
electronic total energy = -5.27 eV/atom

=====

VASP calculation (PBE) on RbBaCu2Ge after structural relaxation.

Structure (POSCAR):
```
RbBaCu2Ge
1.0
5.6232 0.0000 0.0000
0.0000 5.6232 0.0000
0.0000 0.0000 7.0347
Rb Ba Cu Ge
1 1 2 1
Direct
0.0000 0.0000 0.0000
0.0000 0.0000 0.5000
0.0000 0.5000 0.5000
0.5000 0.0000 0.5000
0.5000 0.5000 0.0000
```

Results
formation energy = 1.206 eV/atom
symmetry = P4/mmm
spin magnetization = 0.00 μB per cell
electronic total energy = -1.93 eV/atom

=====

VASP calculation (PBE) on BaCuGeRh after structural relaxation.

Structure (POSCAR):
```
BaCuGeRh
1.0
4.0974 0.0000 0.0000
0.0000 4.0974 0.0000
0.0000 0.0000 11.5407
Ba Cu Ge Rh
2 2 2 2
Direct
0.2500 0.2500 0.2273
0.7500 0.7500 0.7727
0.2500 0.7500 0.0000
0.7500 0.2500 0.0000
0.2500 0.2500 0.6166
0.7500 0.7500 0.3834
0.2500 0.7500 0.5000
0.7500 0.2500 0.5000
```

Results
formation energy = -0.337 eV/atom
symmetry = P4/nmm
spin magnetization = 0.00 μB per cell
electronic total energy = -4.83 eV/atom

=====

VASP calculation (PBE) on BaCu2GeRu after structural relaxation.

Structure (POSCAR):
```
BaCu2GeRu
1.0
4.8021 0.0000 0.0000
0.0000 4.8021 0.0000
0.0000 0.0000 4.6103
Ba Cu Ge Ru
1 2 1 1
Direct
0.0000 0.0000 0.0000
0.0000 0.5000 0.5000
0.5000 0.0000 0.5000
0.5000 0.5000 0.0000
0.5000 0.5000 0.5000
```

Results
formation energy = 0.085 eV/atom
symmetry = P4/mmm
spin magnetization = 0.00 μB per cell
electronic total energy = -4.72 eV/atom

=====

VASP calculation (PBE) on BaCuGeSb2 after structural relaxation.

Structure (POSCAR):
```
BaCuGeSb2
1.0
5.1039 0.0000 0.0000
0.0000 5.1039 0.0000
0.0000 0.0000 5.6726
Ba Cu Ge Sb
1 1 1 2
Direct
0.0000 0.0000 0.0000
0.0000 0.0000 0.5000
0.5000 0.5000 0.0000
0.0000 0.5000 0.5000
0.5000 0.0000 0.5000
```

Results
symmetry = P4/mmm
spin magnetization = 0.00 μB per cell
uncorrected formation energy = 97 meV per atom
electronic total energy = -3.68 eV/atom

=====

VASP calculation (PBE) on BaCu2GeSe4 after structural relaxation.

Structure (POSCAR):
```
BaCu2GeSe4
1.0
6.6001 0.0000 0.0000
-3.3001 5.7159 0.0000
0.0000 0.0000 16.4287
Ba Cu Ge Se
3 6 3 12
Direct
0.0000 0.4485 0.1667
0.4485 0.0000 0.8333
0.5515 0.5515 0.5000
0.0776 0.4336 0.9222
0.3560 0.9224 0.5889
0.4336 0.0776 0.0778
0.5664 0.6440 0.2556
0.6440 0.5664 0.7444
0.9224 0.3560 0.4111
0.0000 0.2869 0.6667
0.2869 0.0000 0.3333
0.7131 0.7131 0.0000
0.0405 0.5324 0.5510
0.1059 0.7698 0.9976
0.2302 0.3361 0.3309
0.3361 0.2302 0.6691
0.4676 0.5081 0.8844
0.4919 0.9595 0.2177
0.5081 0.4676 0.1156
0.5324 0.0405 0.4490
0.6639 0.8941 0.6642
0.7698 0.1059 0.0024
0.8941 0.6639 0.3358
0.9595 0.4919 0.7823
```

Results
symmetry = P3_121
spin magnetization = 0.00 μB per cell
uncorrected formation energy = -724 meV per atom
electronic total energy = -4.31 eV/atom

=====

VASP calculation (PBE) on BaSm2Cu2Ge2 after structural relaxation.

Structure (POSCAR):
```
BaSm2Cu2Ge2
1.0
2.2393 1.2928 9.9981
-2.2393 1.2928 9.9981
0.0000 -2.5857 9.9981
Ba Sm Cu Ge
1 2 2 2
Direct
0.0000 0.0000 0.0000
0.1302 0.1302 0.1302
0.8698 0.8698 0.8698
0.4158 0.4158 0.4158
0.5842 0.5842 0.5842
0.2509 0.2509 0.2509
0.7491 0.7491 0.7491
```

Results
formation energy = -0.446 eV/atom
symmetry = R-3m
spin magnetization = 0.00 μB per cell
electronic total energy = -4.56 eV/atom

=====

VASP calculation (PBE) on Ba2Cu4SnGe3 after structural relaxation.

Structure (POSCAR):
```
Ba2Cu4SnGe3
1.0
4.4658 0.0000 0.0000
0.0000 4.4658 0.0000
0.0000 0.0000 10.7121
Ba Cu Sn Ge
2 4 1 3
Direct
0.0000 0.5000 0.2387
0.5000 0.0000 0.7613
0.0000 0.0000 0.0000
0.0000 0.5000 0.6382
0.5000 0.0000 0.3618
0.5000 0.5000 0.0000
0.0000 0.0000 0.5000
0.0000 0.5000 0.8848
0.5000 0.0000 0.1152
0.5000 0.5000 0.5000
```

Results
formation energy = -0.287 eV/atom
symmetry = P-4m2
spin magnetization = 0.00 μB per cell
electronic total energy = -4.10 eV/atom

=====

VASP calculation (PBE) on BaSrCu2Ge2 after structural relaxation.

Structure (POSCAR):
```
BaSrCu2Ge2
1.0
4.2522 0.0000 0.0000
-2.1261 3.6825 0.0000
0.0000 0.0000 9.6530
Ba Sr Cu Ge
1 1 2 2
Direct
0.0000 0.0000 0.0000
0.0000 0.0000 0.5000
0.3333 0.6667 0.2639
0.6667 0.3333 0.7361
0.3333 0.6667 0.7409
0.6667 0.3333 0.2591
```

Results
formation energy = -0.385 eV/atom
symmetry = P-3m1
spin magnetization = 0.00 μB per cell
electronic total energy = -3.89 eV/atom

=====

VASP calculation (PBE) on BaCuTcGe2 after structural relaxation.

Structure (POSCAR):
```
BaCuTcGe2
1.0
4.7938 0.0000 0.0000
0.0000 4.7938 0.0000
0.0000 0.0000 5.1111
Ba Cu Tc Ge
1 1 1 2
Direct
0.0000 0.0000 0.0000
0.5000 0.5000 0.0000
0.5000 0.5000 0.5000
0.0000 0.5000 0.5000
0.5000 0.0000 0.5000
```

Results
formation energy = -0.140 eV/atom
symmetry = P4/mmm
spin magnetization = 0.00 μB per cell
electronic total energy = -5.26 eV/atom

=====

VASP calculation (PBE) on BaTl2CuGe after structural relaxation.

Structure (POSCAR):
```
BaTl2CuGe
1.0
5.4602 0.0000 0.0000
0.0000 5.4602 0.0000
0.0000 0.0000 6.5392
Ba Tl Cu Ge
1 2 1 1
Direct
0.0000 0.0000 0.0000
0.0000 0.5000 0.5000
0.5000 0.0000 0.5000
0.5000 0.5000 0.0000
0.0000 0.0000 0.5000
```

Results
formation energy = 0.357 eV/atom
symmetry = P4/mmm
spin magnetization = 0.00 μB per cell
electronic total energy = -2.72 eV/atom

=====

VASP calculation (PBE) on Ba2TlCuGe after structural relaxation.

Structure (POSCAR):
```
Ba2TlCuGe
1.0
6.2609 0.0000 0.0000
0.0000 6.2609 0.0000
0.0000 0.0000 4.5076
Ba Tl Cu Ge
2 1 1 1
Direct
0.0000 0.5000 0.0000
0.5000 0.0000 0.0000
0.0000 0.0000 0.5000
0.5000 0.5000 0.0000
0.5000 0.5000 0.5000
```

Results
formation energy = -0.220 eV/atom
symmetry = P4/mmm
spin magnetization = 0.00 μB per cell
electronic total energy = -3.20 eV/atom